[1]
Computed, not measured: a PBEsol-optimized structure of Zr2MoRh at the meta-GGA SCAN level of DFT.

Values from the calculation:
* E: -32.60 eV per atom
* ΔH_f (0 K): -90 meV/atom
* SG: Pmm2

a = 3.0449 Å, b = 3.5147 Å, c = 6.5840 Å
α = 90.00°, β = 90.00°, γ = 90.00°
Atoms (fractional coordinates):
Mo 0.0000 0.0000 0.5163
Zr 0.5000 0.5000 0.2678
Zr 0.0000 0.0000 0.9785
Rh 0.5000 0.5000 0.7375

[2]
Computed, not measured: a PBEsol-optimized structure of Re3SnS at the meta-GGA SCAN level of DFT.

Values from the calculation:
* E: -48.39 eV per atom
* SG: Pm-3m
* raw formation energy: 3.381 eV/atom

a = 4.8112 Å, b = 4.8112 Å, c = 4.8112 Å
α = 90.00°, β = 90.00°, γ = 90.00°
Atoms (fractional coordinates):
Re 0.0000 0.5000 0.0000
Re 0.5000 0.0000 0.0000
Re 0.0000 0.0000 0.5000
S 0.5000 0.5000 0.5000
Sn 0.0000 0.0000 0.0000

[3]
Computed, not measured: a PBEsol-optimized structure of TiMoW2 at the meta-GGA SCAN level of DFT.

Values from the calculation:
* E: -47.62 eV per atom
* ΔH_f (0 K): -49 meV/atom
* SG: Fm-3m

a = 4.4285 Å, b = 4.4285 Å, c = 4.4285 Å
α = 60.00°, β = 60.00°, γ = 60.00°
Atoms (fractional coordinates):
W 0.7500 0.7500 0.7500
W 0.2500 0.2500 0.2500
Ti 0.0000 0.0000 0.0000
Mo 0.5000 0.5000 0.5000

[4]
Computed, not measured: a PBEsol-optimized structure of Rb at the meta-GGA SCAN level of DFT.

Values from the calculation:
* E: -20.73 eV per atom
* ΔH_f (0 K): 8 meV/atom
* SG: P6/mmm
* polymorph energy (0 for the lowest one): 0.008 eV per atom

a = 4.7180 Å, b = 7.8971 Å, c = 7.8971 Å
α = 120.00°, β = 90.00°, γ = 90.00°
Atoms (fractional coordinates):
Rb 0.5000 0.3333 0.6667
Rb 0.5000 0.6667 0.3333
Rb 0.0000 0.0000 0.0000

[5]
Computed, not measured: a PBEsol-optimized structure of ZrScSi at the meta-GGA SCAN level of DFT.

Values from the calculation:
* E: -18.68 eV per atom
* SG: I4mm
* raw formation energy: -0.360 eV/atom

a = 3.0062 Å, b = 3.0062 Å, c = 6.6495 Å
α = 103.06°, β = 103.06°, γ = 90.00°
Atoms (fractional coordinates):
Sc 0.0213 0.0213 0.0427
Zr 0.3120 0.3120 0.6241
Si 0.6666 0.6666 0.3332

[6]
Computed, not measured: a PBEsol-optimized structure of CdCo2W at the meta-GGA SCAN level of DFT.

Values from the calculation:
* E: -33.28 eV per atom
* ΔH_f (0 K): 402 meV/atom
* SG: Pmm2

a = 2.7319 Å, b = 3.1476 Å, c = 6.4583 Å
α = 90.00°, β = 90.00°, γ = 90.00°
Atoms (fractional coordinates):
Co 0.5000 0.5000 0.2211
Co 0.0000 0.0000 0.0545
W 0.0000 0.0000 0.4465
Cd 0.5000 0.5000 0.7778

[7]
Computed, not measured: a PBEsol-optimized structure of MgTiCo2 at the meta-GGA SCAN level of DFT.

Values from the calculation:
* E: -13.48 eV per atom
* ΔH_f (0 K): 422 meV/atom
* SG: I-42d

a = 5.2805 Å, b = 5.2805 Å, c = 5.2805 Å
α = 104.93°, β = 104.93°, γ = 118.98°
Atoms (fractional coordinates):
Co 0.9041 0.8750 0.5291
Co 0.6250 0.0959 0.9709
Co 0.3459 0.3750 0.4709
Co 0.1250 0.6541 0.0291
Mg 0.7500 0.2500 0.5000
Mg 0.5000 0.5000 0.0000
Ti 0.2500 0.7500 0.5000
Ti 0.0000 0.0000 0.0000

[8]
Computed, not measured: a PBEsol-optimized structure of Mo3Au at the meta-GGA SCAN level of DFT.

Values from the calculation:
* E: -43.21 eV per atom
* ΔH_f (0 K): 243 meV/atom
* SG: Cmmm

a = 2.7884 Å, b = 4.8716 Å, c = 4.8716 Å
α = 110.14°, β = 90.00°, γ = 90.00°
Atoms (fractional coordinates):
Mo 0.5000 0.5000 0.0000
Mo 0.5000 0.0000 0.5000
Mo 0.0000 0.5000 0.5000
Au 0.0000 0.0000 0.0000

Please write out number 2 again, unchanged.
Computed, not measured: a PBEsol-optimized structure of Re3SnS at the meta-GGA SCAN level of DFT.

Values from the calculation:
* E: -48.39 eV per atom
* SG: Pm-3m
* raw formation energy: 3.381 eV/atom

a = 4.8112 Å, b = 4.8112 Å, c = 4.8112 Å
α = 90.00°, β = 90.00°, γ = 90.00°
Atoms (fractional coordinates):
Re 0.0000 0.5000 0.0000
Re 0.5000 0.0000 0.0000
Re 0.0000 0.0000 0.5000
S 0.5000 0.5000 0.5000
Sn 0.0000 0.0000 0.0000

> Among the records above, which one has the lowest E?

Re3SnS

> Among the records above, which one has the highest E?

MgTiCo2

> What is the E in the third record?

-47.62 eV per atom